[1]
VASP calculation (PBE-GGA) on an optimized crystal structure of PaSi4Ir6.

Geometry as CIF:
```
data_PaSi4Ir6
_cell_length_a 3.8645
_cell_length_b 7.0289
_cell_length_c 7.0289
_cell_angle_alpha 120.00
_cell_angle_beta 90.00
_cell_angle_gamma 90.00
_symmetry_space_group_name_H-M 'P 1'
_symmetry_Int_Tables_number 1
loop_
_symmetry_equiv_pos_as_xyz
'x,y,z'
loop_
_atom_site_label
_atom_site_fract_x
_atom_site_fract_y
_atom_site_fract_z
Pa1 0.0000 0.0000 0.0000
Si1 0.5000 0.7994 0.5988
Si2 0.5000 0.4012 0.2006
Si3 0.5000 0.7994 0.2006
Si4 0.0000 0.3333 0.6667
Ir1 0.0000 0.5312 0.0623
Ir2 0.5000 0.6116 0.8058
Ir3 0.0000 0.5312 0.4688
Ir4 0.0000 0.9377 0.4688
Ir5 0.5000 0.1942 0.8058
Ir6 0.5000 0.1942 0.3884
```

Summary:
* calculated volume: 15.0 Å³/atom
* M_tot: 0.00 μB/cell
* formation energy from raw total energies: -0.828 eV per atom
* theoretical density: 15031 kg/m3

[2]
VASP calculation (PBE-GGA) on an optimized crystal structure of Pa3Si4Ir2.

Geometry as CIF:
```
data_Pa3Si4Ir2
_cell_length_a 3.7784
_cell_length_b 7.5588
_cell_length_c 7.5588
_cell_angle_alpha 62.95
_cell_angle_beta 75.53
_cell_angle_gamma 75.53
_symmetry_space_group_name_H-M 'P 1'
_symmetry_Int_Tables_number 1
loop_
_symmetry_equiv_pos_as_xyz
'x,y,z'
loop_
_atom_site_label
_atom_site_fract_x
_atom_site_fract_y
_atom_site_fract_z
Pa1 0.3817 0.1183 0.1183
Pa2 0.5000 0.5000 0.5000
Pa3 0.6183 0.8817 0.8817
Si1 0.8053 0.9053 0.4841
Si2 0.1947 0.5159 0.0947
Si3 0.1947 0.0947 0.5159
Si4 0.8053 0.4841 0.9053
Ir1 0.0000 0.7559 0.2441
Ir2 0.0000 0.2441 0.7559
```

Summary:
* calculated volume: 20.4 Å³/atom
* M_tot: 0.42 μB/cell
* formation energy from raw total energies: -0.477 eV per atom
* theoretical density: 10748 kg/m3

Look up the M_tot of the first one. 0.00 μB/cell

The highest formation energy from raw total energies belongs to which entry? Pa3Si4Ir2

What is the formula in the first record? PaSi4Ir6